(1)
KMnIn2: PBEsol geometry, meta-GGA SCAN.

Unit cell a=4.653 b=4.653 c=4.565 alpha=90.00 beta=90.00 gamma=90.00
Fractional coordinates of all 4 atoms:
K1 0.000 0.000 0.000
Mn1 0.500 0.500 0.000
In1 0.000 0.500 0.500
In2 0.500 0.000 0.500

Computed properties:
SG: No. 123
E above lowest polymorph, eV per atom: 0.216
V, A^3/atom: 24.7
Energy of formation from the pure elements, eV per formula unit: 0.91


(2)
K4MnIn: PBEsol geometry, meta-GGA SCAN.

Unit cell a=7.041 b=7.041 c=7.041 alpha=60.00 beta=60.00 gamma=60.00
Fractional coordinates of all 6 atoms:
K1 0.125 0.125 0.125
K2 0.125 0.125 0.624
K3 0.125 0.624 0.125
K4 0.624 0.125 0.125
Mn1 0.750 0.750 0.750
In1 0.500 0.500 0.500

Computed properties:
SG: No. 216
V, A^3/atom: 41.1
Energy of formation from the pure elements, eV per formula unit: 3.09


(3)
KMnIn2: PBEsol geometry, meta-GGA SCAN.

Unit cell a=3.676 b=3.676 c=8.189 alpha=90.00 beta=90.00 gamma=90.00
Fractional coordinates of all 4 atoms:
K1 0.000 0.000 0.000
Mn1 0.500 0.500 0.340
In1 0.000 0.000 0.442
In2 0.500 0.500 0.681

Computed properties:
SG: No. 99
E above lowest polymorph, eV per atom: 0.117
V, A^3/atom: 27.7
Energy of formation from the pure elements, eV per formula unit: 0.52


(4)
KMnIn2: PBEsol geometry, meta-GGA SCAN.

Unit cell a=5.915 b=3.010 c=6.362 alpha=90.00 beta=116.93 gamma=90.00
Fractional coordinates of all 4 atoms:
K1 0.000 0.000 0.000
Mn1 0.000 0.500 0.500
In1 0.500 0.000 0.500
In2 0.500 0.500 0.000

Computed properties:
SG: No. 10
E above lowest polymorph, eV per atom: 0.267
V, A^3/atom: 25.2
Energy of formation from the pure elements, eV per formula unit: 1.11


(5)
KMnIn2: PBEsol geometry, meta-GGA SCAN.

Unit cell a=8.976 b=3.093 c=7.699 alpha=90.00 beta=95.86 gamma=90.00
Fractional coordinates of all 8 atoms:
K1 0.000 0.000 0.000
K2 0.500 0.500 0.000
Mn1 0.000 0.500 0.500
Mn2 0.500 0.000 0.500
In1 0.239 0.000 0.675
In2 0.261 0.500 0.325
In3 0.739 0.500 0.675
In4 0.761 0.000 0.325

Computed properties:
SG: No. 12
E above lowest polymorph, eV per atom: 0.000
V, A^3/atom: 26.6
Energy of formation from the pure elements, eV per formula unit: 0.05


(6)
KMnIn2: PBEsol geometry, meta-GGA SCAN.

Unit cell a=3.155 b=4.264 c=8.019 alpha=90.00 beta=90.00 gamma=90.00
Fractional coordinates of all 4 atoms:
K1 0.000 0.000 0.000
Mn1 0.500 0.500 0.339
In1 0.000 0.000 0.440
In2 0.500 0.500 0.685

Computed properties:
SG: No. 25
E above lowest polymorph, eV per atom: 0.071
V, A^3/atom: 27.0
Energy of formation from the pure elements, eV per formula unit: 0.33


(7)
K2MnInRe: PBEsol geometry, meta-GGA SCAN.

Unit cell a=6.374 b=6.374 c=5.060 alpha=90.00 beta=90.00 gamma=90.00
Fractional coordinates of all 5 atoms:
K1 0.000 0.500 0.000
K2 0.500 0.000 0.000
Mn1 0.000 0.000 0.500
In1 0.000 0.000 0.000
Re1 0.500 0.500 0.500

Computed properties:
SG: No. 123
V, A^3/atom: 41.1
Energy of formation from the pure elements, eV per formula unit: 8.35


(8)
K2InMo: PBEsol geometry, meta-GGA SCAN.

Unit cell a=5.398 b=5.398 c=7.652 alpha=90.00 beta=90.00 gamma=90.00
Fractional coordinates of all 8 atoms:
K1 0.000 0.000 0.000
K2 0.000 0.500 0.250
K3 0.500 0.000 0.750
K4 0.500 0.500 0.500
In1 0.000 0.000 0.500
In2 0.500 0.500 0.000
Mo1 0.000 0.500 0.750
Mo2 0.500 0.000 0.250

Computed properties:
SG: No. 119
V, A^3/atom: 27.9
Energy of formation from the pure elements, eV per formula unit: 3.38


(9)
KIn2Mo: PBEsol geometry, meta-GGA SCAN.

Unit cell a=2.969 b=2.969 c=10.411 alpha=90.00 beta=90.00 gamma=90.00
Fractional coordinates of all 4 atoms:
K1 0.000 0.000 0.000
In1 0.000 0.000 0.470
In2 0.500 0.500 0.712
Mo1 0.500 0.500 0.275

Computed properties:
SG: No. 99
E above lowest polymorph, eV per atom: 0.215
V, A^3/atom: 22.9
Energy of formation from the pure elements, eV per formula unit: 2.46


(10)
K2InMo: PBEsol geometry, meta-GGA SCAN.

Unit cell a=3.807 b=3.807 c=10.068 alpha=90.00 beta=90.00 gamma=90.00
Fractional coordinates of all 4 atoms:
K1 0.000 0.000 0.000
K2 0.500 0.500 0.396
In1 0.500 0.500 0.725
Mo1 0.000 0.000 0.676

Computed properties:
SG: No. 99
V, A^3/atom: 36.5
Energy of formation from the pure elements, eV per formula unit: 2.41


(11)
KInMo: PBEsol geometry, meta-GGA SCAN.

Unit cell a=4.027 b=4.038 c=16.304 alpha=90.00 beta=90.00 gamma=90.00
Fractional coordinates of all 12 atoms:
K1 0.000 0.000 0.000
K2 0.000 0.500 0.500
K3 0.500 0.000 0.500
K4 0.500 0.500 0.000
In1 0.000 0.000 0.318
In2 0.000 0.500 0.818
In3 0.500 0.000 0.818
In4 0.500 0.500 0.318
Mo1 0.000 0.000 0.683
Mo2 0.000 0.500 0.183
Mo3 0.500 0.000 0.183
Mo4 0.500 0.500 0.683

Computed properties:
SG: No. 42
V, A^3/atom: 22.1
Energy of formation from the pure elements, eV per formula unit: 2.26


(12)
K2InMo: PBEsol geometry, meta-GGA SCAN.

Unit cell a=3.050 b=4.567 c=9.999 alpha=90.00 beta=98.47 gamma=90.00
Fractional coordinates of all 4 atoms:
K1 0.000 0.000 0.000
K2 0.312 0.500 0.599
In1 0.652 0.000 0.327
Mo1 0.124 0.500 0.271

Computed properties:
SG: No. 6
V, A^3/atom: 34.4
Energy of formation from the pure elements, eV per formula unit: 2.50


(13)
KIn2Mo: PBEsol geometry, meta-GGA SCAN.

Unit cell a=2.957 b=4.738 c=8.016 alpha=90.00 beta=90.11 gamma=90.00
Fractional coordinates of all 4 atoms:
K1 0.000 0.000 0.000
In1 0.497 0.000 0.391
In2 0.498 0.500 0.690
Mo1 0.996 0.500 0.395

Computed properties:
SG: No. 6
E above lowest polymorph, eV per atom: 0.000
V, A^3/atom: 28.1
Energy of formation from the pure elements, eV per formula unit: 1.61


(14)
KInMo2O8: PBEsol geometry, meta-GGA SCAN.

Unit cell a=14.808 b=5.875 c=8.812 alpha=90.00 beta=90.00 gamma=90.00
Fractional coordinates of all 48 atoms:
K1 0.126 0.250 0.060
K2 0.374 0.750 0.560
K3 0.626 0.250 0.440
K4 0.874 0.750 0.940
In1 0.108 0.750 0.696
In2 0.392 0.250 0.196
In3 0.608 0.750 0.804
In4 0.892 0.250 0.304
Mo1 0.039 0.750 0.285
Mo2 0.219 0.250 0.502
Mo3 0.281 0.750 0.002
Mo4 0.461 0.250 0.785
Mo5 0.539 0.750 0.215
Mo6 0.719 0.250 0.998
Mo7 0.781 0.750 0.498
Mo8 0.961 0.250 0.715
O1 0.019 0.006 0.789
O2 0.019 0.494 0.789
O3 0.038 0.750 0.485
O4 0.141 0.250 0.360
O5 0.147 0.750 0.216
O6 0.173 0.750 0.911
O7 0.201 0.504 0.609
O8 0.201 0.996 0.609
O9 0.299 0.004 0.109
O10 0.299 0.496 0.109
O11 0.327 0.250 0.411
O12 0.353 0.250 0.716
O13 0.359 0.750 0.860
O14 0.462 0.250 0.985
O15 0.481 0.506 0.289
O16 0.481 0.994 0.289
O17 0.519 0.006 0.711
O18 0.519 0.494 0.711
O19 0.538 0.750 0.015
O20 0.641 0.250 0.140
O21 0.647 0.750 0.284
O22 0.673 0.750 0.589
O23 0.701 0.504 0.891
O24 0.701 0.996 0.891
O25 0.799 0.004 0.391
O26 0.799 0.496 0.391
O27 0.827 0.250 0.089
O28 0.853 0.250 0.784
O29 0.859 0.750 0.640
O30 0.962 0.250 0.515
O31 0.981 0.506 0.211
O32 0.981 0.994 0.211

Computed properties:
SG: No. 62
V, A^3/atom: 16.0
Formation energy from raw total energies, meV per atom: -2136


(15)
K5InMo4O16: PBEsol geometry, meta-GGA SCAN.

Unit cell a=9.437 b=9.437 c=10.504 alpha=108.04 beta=108.04 gamma=79.50
Fractional coordinates of all 52 atoms:
K1 0.108 0.892 0.750
K2 0.120 0.316 0.064
K3 0.163 0.423 0.428
K4 0.316 0.120 0.564
K5 0.423 0.163 0.928
K6 0.577 0.837 0.072
K7 0.684 0.880 0.436
K8 0.837 0.577 0.572
K9 0.880 0.684 0.936
K10 0.892 0.108 0.250
In1 0.386 0.614 0.250
In2 0.614 0.386 0.750
Mo1 0.030 0.762 0.339
Mo2 0.238 0.970 0.161
Mo3 0.278 0.545 0.866
Mo4 0.455 0.722 0.634
Mo5 0.545 0.278 0.366
Mo6 0.722 0.455 0.134
Mo7 0.762 0.030 0.839
Mo8 0.970 0.238 0.661
O1 0.024 0.288 0.535
O2 0.072 0.887 0.082
O3 0.088 0.561 0.782
O4 0.113 0.928 0.418
O5 0.137 0.206 0.787
O6 0.164 0.620 0.266
O7 0.206 0.137 0.287
O8 0.285 0.656 0.600
O9 0.288 0.024 0.035
O10 0.305 0.505 0.030
O11 0.344 0.715 0.900
O12 0.380 0.836 0.234
O13 0.385 0.401 0.765
O14 0.401 0.385 0.265
O15 0.439 0.912 0.718
O16 0.495 0.695 0.470
O17 0.505 0.305 0.530
O18 0.561 0.088 0.282
O19 0.599 0.615 0.735
O20 0.615 0.599 0.235
O21 0.620 0.164 0.766
O22 0.656 0.285 0.100
O23 0.695 0.495 0.970
O24 0.712 0.976 0.965
O25 0.715 0.344 0.400
O26 0.794 0.863 0.713
O27 0.836 0.380 0.734
O28 0.863 0.794 0.213
O29 0.887 0.072 0.582
O30 0.912 0.439 0.218
O31 0.928 0.113 0.918
O32 0.976 0.712 0.465

Computed properties:
SG: No. 15
V, A^3/atom: 16.2
Formation energy from raw total energies, meV per atom: -2241


(16)
KInNO2: PBEsol geometry, meta-GGA SCAN.

Unit cell a=4.239 b=4.239 c=4.383 alpha=90.00 beta=90.00 gamma=90.00
Fractional coordinates of all 5 atoms:
K1 0.000 0.000 0.000
In1 0.500 0.500 0.500
N1 0.500 0.500 0.000
O1 0.000 0.500 0.500
O2 0.500 0.000 0.500

Computed properties:
SG: No. 123
V, A^3/atom: 15.8
Formation energy from raw total energies, meV per atom: -322


(17)
KInN2O: PBEsol geometry, meta-GGA SCAN.

Unit cell a=4.399 b=4.399 c=4.242 alpha=90.00 beta=90.00 gamma=90.00
Fractional coordinates of all 5 atoms:
K1 0.000 0.000 0.000
In1 0.500 0.500 0.500
N1 0.000 0.500 0.500
N2 0.500 0.000 0.500
O1 0.500 0.500 0.000

Computed properties:
SG: No. 123
V, A^3/atom: 16.4
Formation energy from raw total energies, meV per atom: 449


(18)
KInSN2: PBEsol geometry, meta-GGA SCAN.

Unit cell a=4.806 b=4.806 c=5.866 alpha=90.00 beta=90.00 gamma=90.00
Fractional coordinates of all 5 atoms:
K1 0.000 0.000 0.000
In1 0.500 0.500 0.500
S1 0.000 0.000 0.500
N1 0.000 0.500 0.000
N2 0.500 0.000 0.000

Computed properties:
SG: No. 123
V, A^3/atom: 27.1
Formation energy from raw total energies, meV per atom: 1683


(19)
KInSeN2: PBEsol geometry, meta-GGA SCAN.

Unit cell a=4.451 b=4.451 c=5.396 alpha=90.00 beta=90.00 gamma=90.00
Fractional coordinates of all 5 atoms:
K1 0.000 0.000 0.000
In1 0.500 0.500 0.500
Se1 0.500 0.500 0.000
N1 0.000 0.500 0.500
N2 0.500 0.000 0.500

Computed properties:
SG: No. 123
V, A^3/atom: 21.4
Formation energy from raw total energies, meV per atom: 721


(20)
KNa2In: PBEsol geometry, meta-GGA SCAN.

Unit cell a=5.022 b=5.022 c=23.623 alpha=90.00 beta=90.00 gamma=90.00
Fractional coordinates of all 16 atoms:
K1 0.000 0.000 0.000
K2 0.000 0.500 0.250
K3 0.500 0.000 0.750
K4 0.500 0.500 0.500
Na1 0.206 0.250 0.625
Na2 0.250 0.706 0.875
Na3 0.250 0.794 0.375
Na4 0.294 0.250 0.125
Na5 0.706 0.750 0.125
Na6 0.750 0.206 0.375
Na7 0.750 0.294 0.875
Na8 0.794 0.750 0.625
In1 0.000 0.000 0.500
In2 0.000 0.500 0.750
In3 0.500 0.000 0.250
In4 0.500 0.500 0.000

Computed properties:
SG: No. 122
V, A^3/atom: 37.2
Energy of formation from the pure elements, eV per formula unit: 0.22